# 1
A relaxed structure of MgAl2Cr, computed with PBE.

```
MgAl2Cr
1.0
7.079 0.000 0.000
0.000 7.079 0.000
3.539 3.539 2.749
Cr Mg Al
2 2 4
Direct
0.750 0.250 0.500
0.000 0.000 0.000
0.500 0.500 0.000
0.250 0.750 0.500
0.650 0.125 0.250
0.875 0.900 0.750
0.100 0.625 0.250
0.375 0.350 0.750
```

Summary:
size of the total moment = 0.000 Bohr magnetons per cell
energy relative to the elements = 616 meV/atom
DFT total energy = -4.060 eV per atom



# 2
A relaxed structure of MgAl2Cr, computed with PBE.

```
MgAl2Cr
1.0
4.033 0.000 0.000
0.000 4.033 0.000
0.000 0.000 3.986
Cr Al Mg
1 2 1
Direct
0.500 0.000 0.500
0.500 0.500 0.000
0.000 0.000 0.000
0.000 0.500 0.500
```

Summary:
size of the total moment = 2.807 Bohr magnetons per cell
energy relative to the elements = 28 meV/atom
DFT total energy = -4.648 eV per atom



# 3
A relaxed structure of MgAl4Cr, computed with PBE.

```
MgAl4Cr
1.0
-3.428 -3.757 0.703
-1.671 -1.099 4.728
-4.820 1.142 1.349
Al Mg Cr
4 1 1
Direct
0.375 0.874 0.375
0.375 0.375 0.874
0.375 0.375 0.375
0.874 0.375 0.375
0.000 0.000 0.000
0.750 0.750 0.750
```

Summary:
size of the total moment = 0.001 Bohr magnetons per cell
energy relative to the elements = 138 meV/atom
DFT total energy = -4.227 eV per atom



# 4
A relaxed structure of MgAlCr2, computed with PBE.

```
MgAlCr2
1.0
-4.275 0.849 2.288
-0.243 -2.303 -4.343
0.188 -2.268 1.192
Cr Al Mg
2 1 1
Direct
0.500 0.500 0.000
0.000 0.000 0.000
0.000 0.500 0.500
0.500 0.000 0.500
```

Summary:
size of the total moment = 0.027 Bohr magnetons per cell
energy relative to the elements = 347 meV/atom
DFT total energy = -5.799 eV per atom



# 5
A relaxed structure of MgAlCr, computed with PBE.

```
MgAlCr
1.0
-1.641 -2.277 -0.143
2.789 -0.288 0.186
-0.468 -0.094 6.866
Mg Al Cr
1 1 1
Direct
0.333 0.667 0.654
0.000 0.000 0.024
0.667 0.333 0.322
```

Summary:
size of the total moment = 0.473 Bohr magnetons per cell
energy relative to the elements = 327 meV/atom
DFT total energy = -4.660 eV per atom
offset from the most stable computed form = 0.466 eV/f.u.



# 6
A relaxed structure of MgAlCr, computed with PBE.

```
MgAlCr
1.0
-3.277 -0.215 2.990
-3.515 -2.611 -0.741
-0.572 -3.689 2.405
Mg Al Cr
1 1 1
Direct
0.500 0.500 0.500
0.750 0.750 0.750
0.000 0.000 0.000
```

Summary:
size of the total moment = 3.145 Bohr magnetons per cell
energy relative to the elements = 496 meV/atom
DFT total energy = -4.491 eV per atom
offset from the most stable computed form = 0.973 eV/f.u.



# 7
A relaxed structure of MgAl2Cr, computed with PBE.

```
MgAl2Cr
1.0
-0.397 -2.053 -4.076
-2.256 -1.585 1.018
-3.081 3.458 -1.442
Al Mg Cr
2 1 1
Direct
0.000 0.125 0.957
0.500 0.125 0.304
0.500 0.625 0.795
0.000 0.625 0.444
```

Summary:
size of the total moment = 3.008 Bohr magnetons per cell
energy relative to the elements = 69 meV/atom
DFT total energy = -4.607 eV per atom



# 8
A relaxed structure of MgAl2Cr, computed with PBE.

```
MgAl2Cr
1.0
-3.578 2.677 0.754
-2.906 -0.987 3.334
-0.149 2.589 3.716
Mg Al Cr
1 2 1
Direct
0.750 0.750 0.750
0.000 0.000 0.000
0.250 0.250 0.250
0.500 0.500 0.500
```

Summary:
size of the total moment = 3.204 Bohr magnetons per cell
energy relative to the elements = 192 meV/atom
DFT total energy = -4.484 eV per atom



# 9
A relaxed structure of MgAlCr2, computed with PBE.

```
MgAlCr2
1.0
-3.543 -0.885 -1.882
1.309 -1.512 -1.753
-0.124 -4.660 2.427
Mg Cr Al
1 2 1
Direct
0.000 0.486 0.489
0.000 0.056 0.017
0.500 0.191 0.220
0.500 0.767 0.774
```

Summary:
size of the total moment = 0.000 Bohr magnetons per cell
energy relative to the elements = 200 meV/atom
DFT total energy = -5.946 eV per atom



# 10
A relaxed structure of MgAl2Cr, computed with PBE.

```
MgAl2Cr
1.0
-1.880 -2.539 -3.569
-1.568 -4.282 -1.386
-4.921 0.463 1.074
Al Mg Cr
2 1 1
Direct
0.487 0.487 0.532
0.013 0.013 0.968
0.250 0.250 0.250
0.750 0.750 0.750
```

Summary:
size of the total moment = 0.846 Bohr magnetons per cell
energy relative to the elements = 146 meV/atom
DFT total energy = -4.530 eV per atom



# 11
A relaxed structure of MgAl2Cr, computed with PBE.

```
MgAl2Cr
1.0
4.896 0.003 0.001
1.867 4.526 -0.001
-3.382 -2.265 2.721
Al Cr Mg
2 1 1
Direct
0.500 0.500 0.000
0.000 0.000 0.000
0.750 0.250 0.500
0.250 0.750 0.500
```

Summary:
size of the total moment = 0.000 Bohr magnetons per cell
energy relative to the elements = 33 meV/atom
DFT total energy = -4.643 eV per atom



# 12
A relaxed structure of MgAl10Cr2, computed with PBE.

```
MgAl10Cr2
1.0
-4.152 -4.744 2.775
2.951 -4.020 -4.752
6.503 -2.228 5.924
Al Cr Mg
20 4 2
Direct
0.783 0.526 0.250
0.140 0.414 0.250
0.144 0.856 0.904
0.372 0.628 0.030
0.144 0.856 0.596
0.372 0.628 0.470
0.233 0.233 0.000
0.767 0.767 0.000
0.767 0.767 0.500
0.474 0.217 0.250
0.856 0.144 0.096
0.217 0.474 0.750
0.586 0.860 0.250
0.526 0.783 0.750
0.628 0.372 0.970
0.856 0.144 0.404
0.414 0.140 0.750
0.628 0.372 0.530
0.233 0.233 0.500
0.860 0.586 0.750
0.500 0.000 0.500
0.500 0.000 0.000
0.000 0.500 0.000
0.000 0.500 0.500
0.866 0.134 0.750
0.134 0.866 0.250
```

Summary:
size of the total moment = 7.400 Bohr magnetons per cell
energy relative to the elements = -60 meV/atom
DFT total energy = -4.542 eV per atom



Question: Which formula does entry 2 have?
Answer: MgAl2Cr



Question: Look up the size of the total moment of the fifth one.
Answer: 0.473 Bohr magnetons per cell



Question: Which value of size of the total moment does entry 3 give?
Answer: 0.001 Bohr magnetons per cell



Question: Among the records above, which one has the highest DFT total energy?
Answer: number 1